[1]
Below is a geometry-optimized SbAs2IBr structure, with properties calculated at the PBEsol level.

Properties
Total DFT energy (no corrections): -3.063 eV per atom
DOS at the Fermi energy: 5.62 states/eV/f.u.
Space group: P4/mmm

abc: 5.299 5.355 5.355
angles: 90.00 90.00 90.00
Fractional coordinates of all 5 atoms:
I1 0.500 0.500 0.500
Sb1 0.000 0.000 0.000
As1 0.000 0.000 0.500
As2 0.000 0.500 0.000
Br1 0.500 0.000 0.000

***

[2]
Below is a geometry-optimized SbAsIBr2 structure, with properties calculated at the PBEsol level.

Properties
Total DFT energy (no corrections): -2.820 eV per atom
DOS at the Fermi energy: 3.30 states/eV/f.u.
Space group: P4/mmm

abc: 5.269 5.269 5.810
angles: 90.00 90.00 90.00
Fractional coordinates of all 5 atoms:
I1 0.500 0.500 0.500
Sb1 0.000 0.000 0.000
As1 0.000 0.000 0.500
Br1 0.000 0.500 0.000
Br2 0.500 0.000 0.000